Entry 1:
NdErTe2S: optimized geometry, PBE.

M_tot: 0.00 μB/atom
E_form (uncorrected): -33.96 kcal/mol of atoms
SG: P4/nmm (129)

Lattice parameters (Å, degrees): 4.4409 4.4409 15.6612 90.00 90.00 90.00
With the nearest neighbours (Å) after each atom.
Positions (direct):
Nd 0.2500 0.2500 0.1063  4 S 2.77
Nd 0.7500 0.7500 0.8937  4 S 2.77
Er 0.2500 0.2500 0.6104  6 Te 2.88-3.17
Er 0.7500 0.7500 0.3896  6 Te 2.88-3.17
Te 0.2500 0.2500 0.4079  5 Er 3.15-3.17
Te 0.2500 0.2500 0.7944  1 Er 2.88
Te 0.7500 0.7500 0.2056  1 Er 2.88
Te 0.7500 0.7500 0.5921  5 Er 3.15-3.17
S 0.2500 0.7500 0.0000  4 Nd 2.77
S 0.7500 0.2500 0.0000  4 Nd 2.77

Entry 2:
Rb2TlPO4: optimized geometry, PBE.

M_tot: 0.00 μB/atom
E_form (uncorrected): -39.35 kcal/mol of atoms
SG: Fddd (70)

Lattice parameters (Å, degrees): 13.4284 12.5680 6.5090 82.98 68.26 28.76
With the nearest neighbours (Å) after each atom.
Positions (direct):
Rb 0.0679 0.0679 0.6821  4 O 3.04-3.17
Rb 0.3179 0.3179 0.9321  4 O 3.04-3.17
Rb 0.6821 0.6821 0.0679  4 O 3.04-3.17
Rb 0.9321 0.9321 0.3179  4 O 3.04-3.17
Tl 0.1250 0.1250 0.1250  4 O 2.61
Tl 0.8750 0.8750 0.8750  4 O 2.61
P 0.3750 0.3750 0.3750  4 O 1.57
P 0.6250 0.6250 0.6250  4 O 1.57
O 0.1141 0.5636 0.4703  1 P 1.57
O 0.3520 0.4703 0.5636  1 P 1.57
O 0.4364 0.8859 0.6480  1 P 1.57
O 0.4703 0.3520 0.1141  1 P 1.57
O 0.5297 0.6480 0.8859  1 P 1.57
O 0.5636 0.1141 0.3520  1 P 1.57
O 0.6480 0.5297 0.4364  1 P 1.57
O 0.8859 0.4364 0.5297  1 P 1.57

Entry 3:
Ce3Pm3SmS8: optimized geometry, PBE.

M_tot: 0.06 μB/atom
E_form (uncorrected): -47.19 kcal/mol of atoms
SG: C2/m (12)

Lattice parameters (Å, degrees): 8.0301 8.0301 8.0410 119.70 119.70 60.26
With the nearest neighbours (Å) after each atom.
Positions (direct):
Ce 0.0000 0.0000 0.0000  6 S 2.84-2.85
Ce 0.0000 0.5000 0.5000  6 S 2.84-2.85
Ce 0.5000 0.0000 0.5000  6 S 2.84-2.85
Pm 0.0000 0.5000 0.0000  6 S 2.85
Pm 0.5000 0.0000 0.0000  6 S 2.85
Pm 0.5000 0.5000 0.5000  6 S 2.85
Sm 0.5000 0.5000 0.0000  6 S 2.83
S 0.2499 0.2499 0.2499  3 Ce 2.85, 3 Pm 2.85
S 0.2511 0.2511 0.7508  1 Sm 2.83, 2 Ce 2.84, 2 Pm 2.85
S 0.2511 0.7494 0.2488  1 Sm 2.83, 2 Ce 2.84, 2 Pm 2.85
S 0.2506 0.7489 0.7512  1 Sm 2.83, 2 Ce 2.84, 2 Pm 2.85
S 0.7494 0.2511 0.2488  1 Sm 2.83, 2 Ce 2.84, 2 Pm 2.85
S 0.7489 0.2506 0.7512  1 Sm 2.83, 2 Ce 2.84, 2 Pm 2.85
S 0.7489 0.7489 0.2492  1 Sm 2.83, 2 Ce 2.84, 2 Pm 2.85
S 0.7501 0.7501 0.7501  3 Ce 2.85, 3 Pm 2.85

Entry 4:
DyHoTlAg: optimized geometry, PBE.

M_tot: 0.00 μB/atom
Formation energy: -130 kJ/mol of formula units
SG: F-43m (216)

Lattice parameters (Å, degrees): 5.2518 5.2518 5.2518 60.00 60.00 60.00
With the nearest neighbours (Å) after each atom.
Positions (direct):
Dy 0.0000 0.0000 0.0000  4 Ag 3.22, 4 Tl 3.22
Ho 0.5000 0.5000 0.5000  4 Ag 3.22, 4 Tl 3.22
Tl 0.2500 0.2500 0.2500  4 Ho 3.22, 4 Dy 3.22
Ag 0.7500 0.7500 0.7500  4 Dy 3.22, 4 Ho 3.22

Entry 5:
Nd3Zn4Ni4: optimized geometry, PBE.

M_tot: 0.00 μB/atom
Formation energy: -355 kJ/mol of formula units
SG: P-1 (2)

Lattice parameters (Å, degrees): 3.9099 4.0469 13.3737 81.42 81.63 89.99
With the nearest neighbours (Å) after each atom.
Positions (direct):
Nd 0.0000 0.0000 0.0000  8 Ni 3.05-3.06, 4 Zn 3.20
Nd 0.1491 0.6498 0.7011  6 Ni 3.02-3.36, 8 Zn 3.13-3.33
Nd 0.8509 0.3502 0.2989  6 Ni 3.02-3.36, 8 Zn 3.13-3.33
Zn 0.2507 0.2507 0.4993  4 Ni 2.49-2.53
Zn 0.4032 0.9026 0.1941  3 Ni 2.43-2.47
Zn 0.5968 0.0974 0.8059  3 Ni 2.43-2.47
Zn 0.7493 0.7493 0.5007  4 Ni 2.49-2.53
Ni 0.3082 0.8081 0.3827  5 Zn 2.47-2.53
Ni 0.4564 0.4538 0.0906  1 Ni 2.37, 2 Zn 2.43-2.44
Ni 0.5436 0.5462 0.9094  1 Ni 2.37, 2 Zn 2.43-2.44
Ni 0.6918 0.1919 0.6173  5 Zn 2.47-2.53

Entry 6:
PmSm4Ag: optimized geometry, PBE.

M_tot: 0.00 μB/atom
Formation energy: -41 kJ/mol of formula units
SG: P4/mmm (123)

Lattice parameters (Å, degrees): 3.6471 3.6471 14.1444 90.00 90.00 90.00
With the nearest neighbours (Å) after each atom.
Positions (direct):
Pm 0.0000 0.0000 0.0000  8 Sm 3.63, 4 Pm 3.65
Sm 0.0000 0.0000 0.3636  4 Ag 3.22
Sm 0.0000 0.0000 0.6364  4 Ag 3.22
Sm 0.5000 0.5000 0.1805  4 Pm 3.63, 8 Sm 3.65
Sm 0.5000 0.5000 0.8195  4 Pm 3.63, 8 Sm 3.65
Ag 0.5000 0.5000 0.5000  8 Sm 3.22

M_tot of number 2 (Rb2TlPO4)? 0.00 μB/atom